(1)
Ba3Sr3Tl2Ga: optimized geometry, PBE-GGA.

## Properties
Its formation energy is -218 kJ/mol of formula units. The symmetry is P-62m (189).

a b c (Å): 4.5698 9.8387 9.8387
angles (deg): 120.00 90.00 90.00
Atoms (fractional coordinates):
1 Ga 0.0000 0.0000 0.0000
2 Sr 0.0000 0.5931 0.5931
3 Sr 0.0000 0.4069 0.0000
4 Sr 0.0000 0.0000 0.4069
5 Ba 0.5000 0.2523 0.2523
6 Ba 0.5000 0.0000 0.7477
7 Ba 0.5000 0.7477 0.0000
8 Tl 0.5000 0.3333 0.6667
9 Tl 0.5000 0.6667 0.3333

(2)
Ba8Sb3PdI4: optimized geometry, PBE-GGA.

## Properties
The symmetry is C2/m (12). Its uncorrected formation energy is -1.270 eV per atom.

a b c (Å): 9.9963 10.2181 9.9965
angles (deg): 119.28 120.00 90.00
Atoms (fractional coordinates):
1 Ba 0.2537 0.2870 0.0203
2 Ba 0.7666 0.2870 0.0203
3 Ba 0.7401 0.7203 0.4802
4 Ba 0.2344 0.7141 0.4688
5 Ba 0.2334 0.7130 0.9797
6 Ba 0.7463 0.7130 0.9797
7 Ba 0.2599 0.2797 0.5198
8 Ba 0.7656 0.2859 0.5312
9 Sb 0.0000 0.5000 0.5000
10 Sb 0.5000 0.5000 0.5000
11 Sb 0.5000 0.5000 0.0000
12 I 0.0000 0.0000 0.5000
13 I 0.5000 0.0000 0.5000
14 I 0.5000 0.0000 0.0000
15 I 0.0000 0.0000 0.0000
16 Pd 0.0000 0.5000 0.0000

Number 1: total magnetization 0.00 μB/f.u., calculated density 5.0 g/cm3, final energy -2.32 eV/atom. Number 2: total magnetization 0.79 μB/f.u., calculated density 4.7 g/cm3, final energy -3.72 eV/atom.